(1)
Computed, not measured: a relaxed Mg2GeS crystal at the GGA-PBE level of DFT.

Its final energy is -0.2485 Ry per atom. As for the energy above the most stable polymorph in this dataset: 0.000 eV per atom. The value obtained for the total magnetization is 0.00 μB per cell. For the formation energy from raw total energies, the calculation gives -0.3975 eV/atom.

Unit cell a=6.5433 b=6.5433 c=6.5577 alpha=60.07 beta=60.07 gamma=90.00
With the nearest neighbours (Å) after each atom.
Atoms (fractional coordinates):
Mg 0.5877 0.1250 0.2500  2 S 2.44
Mg 0.1623 0.6250 0.2500  2 S 2.44
Mg 0.3750 0.4123 0.7500  2 S 2.44
Mg 0.8750 0.8377 0.7500  2 S 2.44
Ge 0.0000 0.0000 0.0000  4 Mg 2.75
Ge 0.7500 0.2500 0.5000  4 Mg 2.75
S 0.5000 0.5000 0.0000  4 Mg 2.44
S 0.2500 0.7500 0.5000  4 Mg 2.44

=====

(2)
Computed, not measured: a relaxed MgGeS3 crystal at the GGA-PBE level of DFT.

Its final energy is -0.3078 Ry per atom. As for the energy above the most stable polymorph in this dataset: 0.250 eV per atom. The value obtained for the total magnetization is 0.00 μB per cell. For the formation energy from raw total energies, the calculation gives -0.4684 eV/atom.

Unit cell a=3.5783 b=6.7690 c=6.7690 alpha=119.69 beta=90.00 gamma=90.00
With the nearest neighbours (Å) after each atom.
Atoms (fractional coordinates):
Mg 0.5000 0.0949 0.9051  4 S 2.34-2.50
Ge 0.0000 0.4152 0.5848  5 S 2.24-2.42
S 0.5000 0.6814 0.7868  2 Ge 2.42, 1 Mg 2.50
S 0.0000 0.2235 0.7765  1 Ge 2.24, 2 Mg 2.34
S 0.5000 0.2132 0.3186  2 Ge 2.42, 1 Mg 2.50

=====

(3)
Computed, not measured: a relaxed Mg3Ge5S12 crystal at the GGA-PBE level of DFT.

Its final energy is -0.3194 Ry per atom. The value obtained for the total magnetization is 0.00 μB per cell. For the formation energy from raw total energies, the calculation gives -0.4756 eV/atom.

Unit cell a=12.9538 b=12.9538 c=12.9538 alpha=109.47 beta=109.47 gamma=109.47
With the nearest neighbours (Å) after each atom.
Atoms (fractional coordinates):
Mg 0.7500 0.3750 0.1250  8 S 2.81-2.88
Mg 0.8750 0.7500 0.1250  8 S 2.81-2.88
Mg 0.3750 0.7500 0.6250  8 S 2.81-2.88
Mg 0.2500 0.1250 0.3750  8 S 2.81-2.88
Mg 0.8750 0.1250 0.2500  8 S 2.81-2.88
Mg 0.3750 0.6250 0.2500  8 S 2.81-2.88
Mg 0.6250 0.3750 0.7500  8 S 2.81-2.88
Mg 0.1250 0.8750 0.7500  8 S 2.81-2.88
Mg 0.7500 0.8750 0.6250  8 S 2.81-2.88
Mg 0.6250 0.2500 0.3750  8 S 2.81-2.88
Mg 0.1250 0.2500 0.8750  8 S 2.81-2.88
Mg 0.2500 0.6250 0.8750  8 S 2.81-2.88
Ge 0.1250 0.3750 0.2500  4 S 2.25
Ge 0.0000 0.5000 0.0000  6 S 2.53
Ge 0.0000 0.0000 0.0000  6 S 2.53
Ge 0.3750 0.2500 0.1250  4 S 2.25
Ge 0.5000 0.0000 0.5000  6 S 2.53
Ge 0.5000 0.5000 0.0000  6 S 2.53
Ge 0.1250 0.7500 0.3750  4 S 2.25
Ge 0.7500 0.1250 0.8750  4 S 2.25
Ge 0.7500 0.6250 0.3750  4 S 2.25
Ge 0.3750 0.1250 0.7500  4 S 2.25
Ge 0.6250 0.8750 0.2500  4 S 2.25
Ge 0.5000 0.5000 0.5000  6 S 2.53
Ge 0.5000 0.0000 0.0000  6 S 2.53
Ge 0.0000 0.0000 0.5000  6 S 2.53
Ge 0.2500 0.3750 0.6250  4 S 2.25
Ge 0.2500 0.8750 0.1250  4 S 2.25
Ge 0.0000 0.5000 0.5000  6 S 2.53
Ge 0.8750 0.2500 0.6250  4 S 2.25
Ge 0.6250 0.7500 0.8750  4 S 2.25
Ge 0.8750 0.6250 0.7500  4 S 2.25
S 0.7175 0.1306 0.0368  1 Ge 2.25
S 0.3192 0.5368 0.4062  1 Ge 2.25
S 0.9632 0.3694 0.2825  1 Ge 2.25
S 0.5368 0.2175 0.1306  1 Ge 2.25
S 0.5869 0.7175 0.6808  1 Ge 2.25
S 0.9632 0.5938 0.1808  1 Ge 2.25
S 0.3192 0.7825 0.4131  1 Ge 2.25
S 0.0938 0.9131 0.1306  1 Ge 2.25
S 0.5938 0.9632 0.6808  1 Ge 2.25
S 0.7175 0.5869 0.1808  1 Ge 2.25
S 0.7825 0.4632 0.3694  1 Ge 2.25
S 0.8192 0.9062 0.0368  1 Ge 2.25
S 0.1306 0.7175 0.5368  1 Ge 2.25
S 0.3694 0.4062 0.0869  1 Ge 2.25
S 0.0869 0.9062 0.3694  1 Ge 2.25
S 0.4131 0.1306 0.5938  1 Ge 2.25
S 0.0869 0.1808 0.2175  1 Ge 2.25
S 0.4632 0.6808 0.0938  1 Ge 2.25
S 0.8192 0.9131 0.2825  1 Ge 2.25
S 0.1306 0.4131 0.0938  1 Ge 2.25
S 0.3694 0.9632 0.7825  1 Ge 2.25
S 0.5938 0.6306 0.4131  1 Ge 2.25
S 0.9062 0.8192 0.5368  1 Ge 2.25
S 0.7825 0.3192 0.9131  1 Ge 2.25
S 0.4062 0.3694 0.5869  1 Ge 2.25
S 0.0938 0.1808 0.4632  1 Ge 2.25
S 0.2175 0.6808 0.0869  1 Ge 2.25
S 0.1808 0.0869 0.7175  1 Ge 2.25
S 0.6306 0.0368 0.2175  1 Ge 2.25
S 0.8694 0.5869 0.9062  1 Ge 2.25
S 0.5368 0.3192 0.9062  1 Ge 2.25
S 0.5869 0.8694 0.4062  1 Ge 2.25
S 0.9131 0.8192 0.7825  1 Ge 2.25
S 0.9131 0.0938 0.6306  1 Ge 2.25
S 0.8694 0.2825 0.4632  1 Ge 2.25
S 0.1808 0.0938 0.9632  1 Ge 2.25
S 0.6306 0.5938 0.9131  1 Ge 2.25
S 0.4062 0.0368 0.3192  1 Ge 2.25
S 0.2825 0.4131 0.8192  1 Ge 2.25
S 0.2175 0.5368 0.6306  1 Ge 2.25
S 0.9062 0.0869 0.8694  1 Ge 2.25
S 0.6808 0.2175 0.5869  1 Ge 2.25
S 0.4632 0.7825 0.8694  1 Ge 2.25
S 0.0368 0.4062 0.8192  1 Ge 2.25
S 0.4131 0.2825 0.3192  1 Ge 2.25
S 0.0368 0.6306 0.7175  1 Ge 2.25
S 0.6808 0.4632 0.5938  1 Ge 2.25
S 0.2825 0.8694 0.9632  1 Ge 2.25

=====

(4)
Computed, not measured: a relaxed MgGeS crystal at the GGA-PBE level of DFT.

Its final energy is -0.3058 Ry per atom. The value obtained for the total magnetization is 0.00 μB per cell. For the formation energy from raw total energies, the calculation gives -0.7144 eV/atom.

Unit cell a=4.1231 b=4.1231 c=12.1238 alpha=80.21 beta=80.21 gamma=60.00
With the nearest neighbours (Å) after each atom.
Atoms (fractional coordinates):
Mg 0.6362 0.6362 0.0913  4 S 2.42-2.59
Mg 0.3638 0.3638 0.9087  4 S 2.42-2.59
S 0.2911 0.2911 0.1267  4 Mg 2.42-2.59
S 0.7089 0.7089 0.8733  4 Mg 2.42-2.59
Ge 0.8426 0.8426 0.4722  3 Ge 2.47
Ge 0.1574 0.1574 0.5278  3 Ge 2.47

=====

(5)
Computed, not measured: a relaxed MgGeS3 crystal at the GGA-PBE level of DFT.

Its final energy is -0.2721 Ry per atom. As for the energy above the most stable polymorph in this dataset: 0.736 eV per atom. The value obtained for the total magnetization is 0.00 μB per cell. For the formation energy from raw total energies, the calculation gives 0.0172 eV/atom.

Unit cell a=4.7024 b=4.7024 c=4.7024 alpha=90.00 beta=90.00 gamma=90.00
With the nearest neighbours (Å) after each atom.
Atoms (fractional coordinates):
Mg 0.5000 0.5000 0.5000  12 S 3.33
Ge 0.0000 0.0000 0.0000  6 S 2.35
S 0.0000 0.5000 0.0000  2 Ge 2.35
S 0.0000 0.0000 0.5000  2 Ge 2.35
S 0.5000 0.0000 0.0000  2 Ge 2.35

=====

(6)
Computed, not measured: a relaxed MgGe3S crystal at the GGA-PBE level of DFT.

Its final energy is -0.2267 Ry per atom. As for the energy above the most stable polymorph in this dataset: 0.390 eV per atom. The value obtained for the total magnetization is 0.00 μB per cell. For the formation energy from raw total energies, the calculation gives 0.8307 eV/atom.

Unit cell a=4.9997 b=4.9997 c=4.9997 alpha=90.00 beta=90.00 gamma=90.00
With the nearest neighbours (Å) after each atom.
Atoms (fractional coordinates):
Mg 0.0000 0.0000 0.0000  6 Ge 2.50
Ge 0.0000 0.5000 0.0000  2 Mg 2.50
Ge 0.0000 0.0000 0.5000  2 Mg 2.50
Ge 0.5000 0.0000 0.0000  2 Mg 2.50
S 0.5000 0.5000 0.5000  12 Ge 3.54

=====

(7)
Computed, not measured: a relaxed Mg3GeS crystal at the GGA-PBE level of DFT.

Its final energy is -0.2152 Ry per atom. As for the energy above the most stable polymorph in this dataset: 0.000 eV per atom. The value obtained for the total magnetization is 0.00 μB per cell. For the formation energy from raw total energies, the calculation gives -0.2228 eV/atom.

Unit cell a=4.7627 b=4.7627 c=4.7627 alpha=90.00 beta=90.00 gamma=90.00
With the nearest neighbours (Å) after each atom.
Atoms (fractional coordinates):
Mg 0.0000 0.5000 0.0000  2 S 2.38
Mg 0.0000 0.0000 0.5000  2 S 2.38
Mg 0.5000 0.0000 0.0000  2 S 2.38
Ge 0.5000 0.5000 0.5000  12 Mg 3.37
S 0.0000 0.0000 0.0000  6 Mg 2.38

=====

(8)
Computed, not measured: a relaxed MgGeS2 crystal at the GGA-PBE level of DFT.

Its final energy is -0.3177 Ry per atom. The value obtained for the total magnetization is 0.00 μB per cell. For the formation energy from raw total energies, the calculation gives -0.7063 eV/atom.

Unit cell a=3.8928 b=6.6605 c=6.9708 alpha=99.95 beta=72.13 gamma=91.48
With the nearest neighbours (Å) after each atom.
Atoms (fractional coordinates):
Mg 0.0320 0.1533 0.7489  5 S 2.54-2.63
Mg 0.5489 0.6679 0.7115  6 S 2.56-2.74
Ge 0.1750 0.0091 0.2293  2 S 2.44-2.46, 1 Ge 2.64
Ge 0.2991 0.6202 0.2246  2 S 2.24-2.29
S 0.9456 0.8611 0.9485  1 Ge 2.44, 2 Mg 2.54-2.63
S 0.1620 0.4637 0.4981  1 Ge 2.24
S 0.4413 0.3789 0.9338  1 Ge 2.29
S 0.6531 0.9757 0.5280  1 Ge 2.46, 3 Mg 2.56-2.62

=====

(9)
Computed, not measured: a relaxed MgGeS2 crystal at the GGA-PBE level of DFT.

Its final energy is -0.3148 Ry per atom. The value obtained for the total magnetization is 0.00 μB per cell. For the formation energy from raw total energies, the calculation gives -0.6663 eV/atom.

Unit cell a=3.7265 b=3.7265 c=6.8829 alpha=74.29 beta=74.29 gamma=60.00
With the nearest neighbours (Å) after each atom.
Atoms (fractional coordinates):
Mg 0.4972 0.4972 0.5083  6 S 2.64-2.73
Ge 0.6666 0.6666 0.0003  6 S 2.70-2.74
S 0.0863 0.0863 0.7411  3 Mg 2.64, 3 Ge 2.74
S 0.2499 0.2499 0.2504  3 Ge 2.70, 3 Mg 2.73

=====

(10)
Computed, not measured: a relaxed MgScGe2S crystal at the GGA-PBE level of DFT.

Its final energy is -0.2682 Ry per atom. The value obtained for the total magnetization is 0.00 μB per cell. For the formation energy from raw total energies, the calculation gives 0.6086 eV/atom.

Unit cell a=4.7431 b=5.5771 c=4.7431 alpha=90.00 beta=90.00 gamma=90.00
With the nearest neighbours (Å) after each atom.
Atoms (fractional coordinates):
Sc 0.0000 0.5000 0.0000  2 Mg 2.79
Ge 0.0000 0.0000 0.5000  2 Mg 2.37
Ge 0.5000 0.0000 0.0000  2 Mg 2.37
Mg 0.0000 0.0000 0.0000  4 Ge 2.37
S 0.5000 0.5000 0.5000  4 Sc 3.35, 8 Ge 3.66